[1]
ZrMoCl | SCAN | PBEsol geometry

extended XYZ file:
```
3
Lattice="-1.4665 -1.9918 -3.6356 1.1812 -4.1466 -0.8639 -2.9585 -3.2386 0.3085" Properties=species:S:1:pos:R:3 pbc="T T T"
Mo -1.6219 -4.6885 -2.0956
Zr -0.8109 -2.3443 -1.0478
Cl 0.0000 0.0000 0.0000
```

Properties
distance to the lowest polymorph of the same formula = 0.922 eV per atom



[2]
Zr2FeP | SCAN | PBEsol geometry

extended XYZ file:
```
4
Lattice="-0.8363 -3.1783 1.2115 -0.4064 -1.1453 -3.2852 5.3063 -1.4533 -0.1497" Properties=species:S:1:pos:R:3 pbc="T T T"
Fe 2.6213 -0.7179 -0.0740
P 3.4785 -3.2847 -1.1525
Zr 5.0572 -1.3851 -0.1427
Zr 0.8661 -2.5692 -1.0788
```

Properties
energy relative to the elements = -0.410 eV/atom